# CrCoNi5

A relaxed structure of CrCoNi5 (PBE, Alexandria).

**Space-group type**: Imm2
**Excess energy over the best structure of this formula in the dataset**: 861 meV per atom
**Formation enthalpy at 0 K**: 1.072 eV/atom

Cell lengths 4.505, 6.041, 5.465 Å; angles 123.55, 114.34, 90.00 degrees
Site moments in Bohr magnetons follow the coordinates.
Positions (direct):
Co1 0.694 0.000 0.000  1.94
Ni1 0.902 0.500 0.000  0.00
Ni2 0.207 0.810 0.000  0.16
Ni3 0.279 0.238 0.476  0.15
Ni4 0.804 0.762 0.524  0.15
Ni5 0.207 0.190 0.000  0.16
Cr1 0.437 0.500 0.000  -0.64